La2Tb3NdS6: optimized geometry, PBE.

a b c (Å): 17.611 3.989 8.139
angles (deg): 90.00 104.32 90.00
Space group C2/m (No. 12)
Inequivalent atoms, fractional coordinates:
1 La 0.166 0.000 0.332 (multiplicity 4)
2 Tb 0.000 0.500 0.500 (multiplicity 2)
3 Tb 0.167 0.000 0.833 (multiplicity 4)
4 Nd 0.000 0.500 0.000 (multiplicity 2)
5 S 0.004 0.000 0.743 (multiplicity 4)
6 S 0.163 0.500 0.593 (multiplicity 4)
7 S 0.169 0.500 0.072 (multiplicity 4)

## Properties
magnetic moment = 0.0 μB/cell
uncorrected formation energy = -2.0691 eV/atom

***

LiThGa2: optimized geometry, PBE.

a b c (Å): 4.2748 4.2748 15.8546
angles (deg): 90.00 90.00 120.00
Space group R-3m (No. 166, hexagonal axes)
Inequivalent atoms, fractional coordinates:
1 Li 0.0000 0.0000 0.0000 (multiplicity 3)
2 Th 0.0000 0.0000 0.5000 (multiplicity 3)
3 Ga 0.0000 0.0000 0.2908 (multiplicity 6)

## Properties
polymorph energy (0 for the lowest one) = 0.12 eV per formula unit
magnetic moment = 0.0 μB/cell
E_form = -0.4192 eV/atom

***

MnAgRh2: optimized geometry, PBE.

a b c (Å): 9.235 2.814 4.773
angles (deg): 90.00 104.37 90.00
Space group C2/m (No. 12)
Inequivalent atoms, fractional coordinates:
1 Mn 0.000 0.000 0.000 (multiplicity 2)
2 Ag 0.000 0.500 0.500 (multiplicity 2)
3 Rh 0.235 0.500 0.235 (multiplicity 4)

## Properties
polymorph energy (0 for the lowest one) = 0.21 eV per formula unit
magnetic moment = 8.1 μB/cell
E_form = 0.0971 eV/atom

***

SiPIr2: optimized geometry, PBE.

a b c (Å): 2.8789 2.8789 22.9276
angles (deg): 90.00 90.00 120.00
Space group R-3m (No. 166, hexagonal axes)
Inequivalent atoms, fractional coordinates:
1 Si 0.0000 0.0000 0.0000 (multiplicity 3)
2 P 0.0000 0.0000 0.5000 (multiplicity 3)
3 Ir 0.0000 0.0000 0.2503 (multiplicity 6)

## Properties
polymorph energy (0 for the lowest one) = 0.39 eV per formula unit
magnetic moment = 0.0 μB/cell
uncorrected formation energy = -0.2695 eV/atom